Entry 1:
Material: TmSnOs
Method: DFT, PBE
State: relaxed

## Properties
As for the space-group type: No. 216.

Cell lengths 6.5324, 6.5324, 6.5324 Å; angles 90.00, 90.00, 90.00 degrees
Fractional positions:
Tm1 0.0000 0.0000 0.0000
Tm2 0.0000 0.5000 0.5000
Tm3 0.5000 0.0000 0.5000
Tm4 0.5000 0.5000 0.0000
Sn1 0.0000 0.0000 0.5000
Sn2 0.0000 0.5000 0.0000
Sn3 0.5000 0.0000 0.0000
Sn4 0.5000 0.5000 0.5000
Os1 0.2500 0.2500 0.7500
Os2 0.2500 0.7500 0.2500
Os3 0.7500 0.2500 0.2500
Os4 0.7500 0.7500 0.7500

=====

Entry 2:
Material: TmSnOs
Method: DFT, PBE
State: relaxed

## Properties
As for the space-group type: No. 216.

Cell lengths 6.6445, 6.6445, 6.6445 Å; angles 90.00, 90.00, 90.00 degrees
Fractional positions:
Tm1 0.0000 0.0000 0.0000
Tm2 0.0000 0.5000 0.5000
Tm3 0.5000 0.0000 0.5000
Tm4 0.5000 0.5000 0.0000
Sn1 0.2500 0.2500 0.2500
Sn2 0.2500 0.7500 0.7500
Sn3 0.7500 0.2500 0.7500
Sn4 0.7500 0.7500 0.2500
Os1 0.2500 0.2500 0.7500
Os2 0.2500 0.7500 0.2500
Os3 0.7500 0.2500 0.2500
Os4 0.7500 0.7500 0.7500

=====

Number 1: electronic total energy -6.7405 eV/atom. Number 2: electronic total energy -5.9155 eV/atom.